Record 1
# K3Ag2RhO6

A geometry-optimized K3Ag2RhO6 structure (PBE-GGA, the Alexandria database). Values from VASP.

## Properties
Energy relative to the elements, uncorrected, eV/atom: -0.727
Space group: C2/m, No. 12

Geometry as Quantum ESPRESSO input:
```
&SYSTEM
  ibrav = 0, nat = 12, ntyp = 4
/
ATOMIC_SPECIES
K 39.10 K.upf
Ag 107.87 Ag.upf
Rh 102.91 Rh.upf
O 16.00 O.upf
ATOMIC_POSITIONS angstrom
K 0.0000 0.0000 0.0000
K 2.9020 1.8686 0.0000
K 2.9020 -1.8686 0.0000
Ag 2.0403 3.5595 2.9313
Ag 2.0403 -3.5595 2.9313
Rh 2.0403 0.0000 2.9313
O 1.0838 1.4974 1.9058
O 0.4788 0.0000 4.1296
O 1.0838 -1.4974 1.9058
O 2.9967 1.4974 3.9569
O 3.6017 0.0000 1.7331
O 2.9967 -1.4974 3.9569
CELL_PARAMETERS angstrom
2.9020 -5.2400 0.0000
2.9020 5.2400 0.0000
-1.7235 0.0000 5.8627
```


Record 2
# K2AgRuO4

A geometry-optimized K2AgRuO4 structure (PBE-GGA, the Alexandria database). Values from VASP.

## Properties
Energy relative to the elements, uncorrected, eV/atom: -0.951
Space group: I-4, No. 82

Geometry as Quantum ESPRESSO input:
```
&SYSTEM
  ibrav = 0, nat = 8, ntyp = 4
/
ATOMIC_SPECIES
K 39.10 K.upf
Ag 107.87 Ag.upf
Ru 101.07 Ru.upf
O 16.00 O.upf
ATOMIC_POSITIONS angstrom
K 0.0000 0.0000 0.0000
K 0.0000 3.1947 1.7948
Ag 0.0000 0.0000 3.5896
Ru 3.1947 0.0000 1.7948
O 1.2131 2.2423 -0.7593
O 4.1472 1.2131 0.7593
O 1.9817 0.9524 2.8304
O -0.9524 1.9817 4.3489
CELL_PARAMETERS angstrom
-3.1947 3.1947 3.5896
3.1947 -3.1947 3.5896
3.1947 3.1947 -3.5896
```


Record 3
# KAgS2O8

A geometry-optimized KAgS2O8 structure (PBE-GGA, the Alexandria database). Values from VASP.

## Properties
Energy relative to the elements, uncorrected, eV/atom: -1.169
Space group: P-3, No. 147

Geometry as Quantum ESPRESSO input:
```
&SYSTEM
  ibrav = 0, nat = 12, ntyp = 4
/
ATOMIC_SPECIES
K 39.10 K.upf
Ag 107.87 Ag.upf
S 32.06 S.upf
O 16.00 O.upf
ATOMIC_POSITIONS angstrom
K 0.0000 0.0000 0.0000
Ag 0.0000 0.0000 4.2272
S 0.0000 2.8732 6.1416
S 2.4883 1.4366 2.3128
O -0.6449 1.6083 5.6649
O -0.7730 4.0642 5.6649
O 0.0000 2.8732 7.6166
O 1.0704 1.3627 2.7895
O 1.4179 2.9472 5.6649
O 2.4883 1.4366 0.8378
O 3.2613 0.2456 2.7895
O 3.1332 2.7016 2.7895
CELL_PARAMETERS angstrom
4.9766 0.0000 0.0000
-2.4883 4.3099 0.0000
0.0000 0.0000 8.4544
```


Record 4
# K2AgSO6

A geometry-optimized K2AgSO6 structure (PBE-GGA, the Alexandria database). Values from VASP.

## Properties
Energy relative to the elements, uncorrected, eV/atom: -0.842
Space group: P-3m1, No. 164

Geometry as Quantum ESPRESSO input:
```
&SYSTEM
  ibrav = 0, nat = 10, ntyp = 4
/
ATOMIC_SPECIES
K 39.10 K.upf
Ag 107.87 Ag.upf
S 32.06 S.upf
O 16.00 O.upf
ATOMIC_POSITIONS angstrom
K 0.0000 3.4357 0.9309
K 2.9754 1.7178 4.4503
Ag 0.0000 0.0000 2.6906
S 0.0000 0.0000 0.0000
O 0.0000 1.3546 4.3988
O -1.8023 4.4762 4.3988
O 1.1731 0.6773 0.9823
O 1.8023 4.4762 4.3988
O 4.7776 0.6773 0.9823
O 2.9754 3.7989 0.9823
CELL_PARAMETERS angstrom
5.9508 0.0000 0.0000
-2.9754 5.1535 0.0000
0.0000 0.0000 5.3812
```


Record 5
# K5AgS6O9

A geometry-optimized K5AgS6O9 structure (PBE-GGA, the Alexandria database). Values from VASP.

## Properties
Energy relative to the elements, uncorrected, eV/atom: -1.413
Space group: P2_1/c, No. 14

Geometry as Quantum ESPRESSO input:
```
&SYSTEM
  ibrav = 0, nat = 84, ntyp = 4
/
ATOMIC_SPECIES
K 39.10 K.upf
Ag 107.87 Ag.upf
S 32.06 S.upf
O 16.00 O.upf
ATOMIC_POSITIONS angstrom
K 0.1084 0.8781 4.8694
K -0.3630 4.6614 11.9828
K 0.9363 2.6100 1.3972
K 0.4650 2.9296 8.5107
K 1.9954 7.6192 10.3565
K 2.4668 8.9994 3.2430
K 3.5898 2.5700 6.0363
K 3.1185 2.9695 13.1497
K 3.6217 0.5106 9.6011
K 4.0931 5.0289 2.4876
K 5.7898 6.0502 11.7393
K 6.2611 10.5684 4.6258
K 6.7644 8.1095 1.0772
K 6.2930 8.5091 8.1907
K 7.4161 2.0797 10.9839
K 7.8874 3.4598 3.8705
K 9.4179 8.1495 5.7162
K 8.9465 8.4691 12.8297
K 10.2458 6.4176 2.2441
K 9.7745 10.2009 9.3576
Ag 3.3129 6.5583 6.4805
Ag 2.8416 10.0603 13.5939
Ag 7.0413 1.0188 0.6330
Ag 6.5699 4.5208 7.7465
S 0.4835 1.2757 11.8048
S 0.9548 4.2638 4.6914
S 1.1410 6.2255 5.2488
S 0.6697 10.3930 12.3623
S 2.3855 6.5539 0.0270
S 1.9142 10.0647 7.1405
S 3.1358 7.4565 13.5095
S 3.6071 9.1621 6.3961
S 3.8673 1.2849 2.6081
S 3.3960 4.2546 9.7216
S 4.3625 5.8100 8.7592
S 4.8338 10.8086 1.6457
S 5.0490 0.2705 12.5812
S 5.5204 5.2691 5.4678
S 6.4869 6.8244 4.5053
S 6.0155 9.7942 11.6188
S 6.2757 1.9169 7.8309
S 6.7470 3.6226 0.7174
S 7.9686 1.0143 7.0864
S 7.4973 4.5252 14.1999
S 9.2131 0.6860 1.8646
S 8.7418 4.8535 8.9781
S 8.9280 6.8152 9.5356
S 9.3994 9.8033 2.4221
O -0.6594 6.9416 10.3519
O -0.1881 9.6770 3.2384
O 0.2785 6.9345 13.4210
O 0.7499 9.6841 6.3076
O 0.4123 2.1408 13.0112
O 0.8836 3.3988 5.8978
O 2.1958 6.9642 1.4439
O 1.7244 9.6544 8.5573
O 1.6674 1.6512 10.9933
O 2.1387 3.8883 3.8799
O 2.1439 0.4578 7.0656
O 1.6725 5.0818 14.1790
O 2.5593 0.7701 3.0875
O 2.0879 4.7694 10.2010
O 3.6881 2.3852 1.6311
O 3.2168 3.1543 8.7446
O 4.7521 1.6884 3.7292
O 4.2808 3.8512 10.8427
O 5.6020 7.2279 3.3842
O 5.1307 9.3907 10.4977
O 6.6661 7.9247 5.4823
O 6.1947 8.6939 12.5958
O 7.7949 6.3097 4.0260
O 7.3236 10.3089 11.1394
O 8.2103 5.9973 0.0479
O 7.7390 10.6213 7.1614
O 7.7441 7.1908 10.3471
O 8.2155 9.4278 3.2336
O 8.1584 1.4247 5.6696
O 7.6871 4.1148 12.7831
O 8.9992 7.6803 8.3292
O 9.4705 8.9383 1.2157
O 9.1329 1.3949 7.9194
O 9.6043 4.1446 0.8059
O 10.0709 1.4021 10.9885
O 10.5423 4.1375 3.8751
CELL_PARAMETERS angstrom
10.8255 0.0000 0.0000
0.0000 11.0791 0.0000
-0.9427 0.0000 14.2269
```


Record 6
# KAgSO4

A geometry-optimized KAgSO4 structure (PBE-GGA, the Alexandria database). Values from VASP.

## Properties
Energy relative to the elements, uncorrected, eV/atom: -1.218
Space group: F-43m, No. 216

Geometry as Quantum ESPRESSO input:
```
&SYSTEM
  ibrav = 0, nat = 7, ntyp = 4
/
ATOMIC_SPECIES
K 39.10 K.upf
Ag 107.87 Ag.upf
S 32.06 S.upf
O 16.00 O.upf
ATOMIC_POSITIONS angstrom
K 0.0000 0.0000 0.0000
Ag 2.1590 2.1590 2.1590
S 4.3180 4.3180 4.3180
O 3.4591 3.4591 3.4591
O 5.1769 5.1769 3.4591
O 5.1769 3.4591 5.1769
O 3.4591 5.1769 5.1769
CELL_PARAMETERS angstrom
0.0000 4.3180 4.3180
4.3180 0.0000 4.3180
4.3180 4.3180 0.0000
```


Record 7
# K2AgSO4

A geometry-optimized K2AgSO4 structure (PBE-GGA, the Alexandria database). Values from VASP.

## Properties
Energy relative to the elements, uncorrected, eV/atom: -1.256
Space group: I-4, No. 82

Geometry as Quantum ESPRESSO input:
```
&SYSTEM
  ibrav = 0, nat = 8, ntyp = 4
/
ATOMIC_SPECIES
K 39.10 K.upf
Ag 107.87 Ag.upf
S 32.06 S.upf
O 16.00 O.upf
ATOMIC_POSITIONS angstrom
K 0.0000 0.0000 0.0000
K 0.0000 3.4219 1.7170
Ag 0.0000 0.0000 3.4339
S 3.4219 0.0000 1.7170
O 2.4360 -0.7180 0.8408
O 4.4078 0.7180 0.8408
O 4.1399 -0.9859 2.5931
O 2.7040 0.9859 2.5931
CELL_PARAMETERS angstrom
-3.4219 3.4219 3.4339
3.4219 -3.4219 3.4339
3.4219 3.4219 -3.4339
```


Record 8
# K3AgS2O8

A geometry-optimized K3AgS2O8 structure (PBE-GGA, the Alexandria database). Values from VASP.

## Properties
Energy relative to the elements, uncorrected, eV/atom: -1.605
Space group: P-3m1, No. 164

Geometry as Quantum ESPRESSO input:
```
&SYSTEM
  ibrav = 0, nat = 14, ntyp = 4
/
ATOMIC_SPECIES
K 39.10 K.upf
Ag 107.87 Ag.upf
S 32.06 S.upf
O 16.00 O.upf
ATOMIC_POSITIONS angstrom
K 0.0000 0.0000 0.0000
K 0.0000 3.3591 5.1407
K 2.9091 1.6796 2.4207
Ag 0.0000 0.0000 3.7807
S 0.0000 3.3591 1.6906
S 2.9091 1.6796 5.8708
O 0.0000 1.9472 2.2116
O -1.2228 4.0651 2.2116
O 0.0000 3.3591 0.2188
O 1.6863 0.9736 5.3498
O 1.2228 4.0651 2.2116
O 2.9091 1.6796 7.3426
O 4.1319 0.9736 5.3498
O 2.9091 3.0915 5.3498
CELL_PARAMETERS angstrom
5.8182 0.0000 0.0000
-2.9091 5.0387 0.0000
0.0000 0.0000 7.5614
```


Record 9
# KAgSe2O6

A geometry-optimized KAgSe2O6 structure (PBE-GGA, the Alexandria database). Values from VASP.

## Properties
Energy relative to the elements, uncorrected, eV/atom: -0.740
Space group: C2/c, No. 15

Geometry as Quantum ESPRESSO input:
```
&SYSTEM
  ibrav = 0, nat = 20, ntyp = 4
/
ATOMIC_SPECIES
K 39.10 K.upf
Ag 107.87 Ag.upf
Se 78.96 Se.upf
O 16.00 O.upf
ATOMIC_POSITIONS angstrom
K 3.6311 3.1080 4.7128
K 4.6490 -3.1080 1.5709
Ag 4.6490 0.9938 1.5709
Ag 3.6311 -0.9938 4.7128
Se 0.4875 0.9576 5.1244
Se 1.5054 -0.9576 1.9825
Se 6.7747 0.9576 4.3012
Se 7.7925 -0.9576 1.1593
O 2.8716 2.9339 1.9023
O 1.3295 0.2900 0.8243
O 0.3116 -0.2900 3.9662
O 2.1404 0.8881 5.6273
O 6.4264 2.9339 1.2396
O 3.1582 -0.8881 2.4854
O 5.1218 0.8881 3.7983
O 1.8537 -2.9339 5.0441
O 6.1397 -0.8881 0.6564
O 7.9685 0.2900 2.3176
O 6.9506 -0.2900 5.4594
O 5.4085 -2.9339 4.3815
CELL_PARAMETERS angstrom
5.1579 -5.3864 0.0000
5.1579 5.3864 0.0000
-2.0357 0.0000 6.2837
```


Record 10
# KAg3Se4O12

A geometry-optimized KAg3Se4O12 structure (PBE-GGA, the Alexandria database). Values from VASP.

## Properties
Energy relative to the elements, uncorrected, eV/atom: -0.369
Space group: R32, No. 155

Geometry as Quantum ESPRESSO input:
```
&SYSTEM
  ibrav = 0, nat = 20, ntyp = 4
/
ATOMIC_SPECIES
K 39.10 K.upf
Ag 107.87 Ag.upf
Se 78.96 Se.upf
O 16.00 O.upf
ATOMIC_POSITIONS angstrom
K 0.0000 0.0000 0.0000
Ag -3.3344 -1.0385 2.8921
Ag 2.5666 -2.3684 2.8921
Ag 0.7679 3.4069 2.8921
Se -2.5975 -4.4989 4.3381
Se 0.0000 0.0000 4.3381
Se -2.5975 4.4989 4.3381
Se 5.1949 0.0000 4.3381
O -3.3904 -2.9668 4.2512
O -4.8304 0.0000 4.3381
O -0.8741 -4.4196 4.4251
O -1.7544 0.0000 4.3381
O -3.3904 2.9668 4.4251
O 2.4152 -4.1833 4.3381
O 0.8772 -1.5193 4.3381
O -0.8741 4.4196 4.2512
O 0.8772 1.5193 4.3381
O 4.2645 -1.4528 4.2512
O 2.4152 4.1833 4.3381
O 4.2645 1.4528 4.4251
CELL_PARAMETERS angstrom
5.9010 3.4069 2.8921
-5.9010 3.4069 2.8921
0.0000 -6.8138 2.8921
```


Record 11
# KSm2AgO4

A geometry-optimized KSm2AgO4 structure (PBE-GGA, the Alexandria database). Values from VASP.

## Properties
Energy relative to the elements, uncorrected, eV/atom: -2.285
Space group: Cmcm, No. 63

Geometry as Quantum ESPRESSO input:
```
&SYSTEM
  ibrav = 0, nat = 16, ntyp = 4
/
ATOMIC_SPECIES
K 39.10 K.upf
Sm 150.36 Sm.upf
Ag 107.87 Ag.upf
O 16.00 O.upf
ATOMIC_POSITIONS angstrom
K 1.8271 5.3704 9.3482
K 1.8271 -5.3704 3.1161
Sm 1.8271 1.6157 7.0207
Sm 1.8271 1.6157 11.6756
Sm 1.8271 -1.6157 0.7886
Sm 1.8271 -1.6157 5.4435
Ag 1.8271 3.3112 3.1161
Ag 1.8271 -3.3112 9.3482
O 0.0000 0.0000 0.0000
O 0.0000 0.0000 6.2321
O 1.8271 3.1076 1.0298
O 1.8271 3.1076 5.2023
O 1.8271 1.0582 9.3482
O 1.8271 -1.0582 3.1161
O 1.8271 -3.1076 7.2619
O 1.8271 -3.1076 11.4344
CELL_PARAMETERS angstrom
1.8271 -6.1465 0.0000
1.8271 6.1465 0.0000
0.0000 0.0000 12.4642
```


Record 12
# K2AgSn3O8

A geometry-optimized K2AgSn3O8 structure (PBE-GGA, the Alexandria database). Values from VASP.

## Properties
Energy relative to the elements, uncorrected, eV/atom: -1.400
Space group: R3m, No. 160

Geometry as Quantum ESPRESSO input:
```
&SYSTEM
  ibrav = 0, nat = 14, ntyp = 4
/
ATOMIC_SPECIES
K 39.10 K.upf
Ag 107.87 Ag.upf
Sn 118.71 Sn.upf
O 16.00 O.upf
ATOMIC_POSITIONS angstrom
K 0.0000 0.0000 0.0000
K 0.0000 0.0000 7.0422
Ag 0.0000 0.0000 10.2268
Sn -1.6195 -0.9350 16.5646
Sn 1.6196 -0.9350 16.5646
Sn 0.0000 1.8701 16.5646
O -1.8065 -1.0430 11.0683
O 0.0000 0.0000 4.4119
O 0.0000 -2.0100 8.8777
O -1.7407 1.0050 8.8777
O 1.8065 -1.0430 11.0683
O 0.0000 2.0859 11.0683
O 0.0000 0.0000 15.4492
O 1.7407 1.0050 8.8777
CELL_PARAMETERS angstrom
3.2560 1.8798 6.6320
-3.2560 1.8798 6.6320
0.0000 -3.7597 6.6320
```